Ga2SnPd2 after structural relaxation. Source: Alexandria, functional PBE.

Cell: 7.723 7.723 2.954 Å, 90.00 90.00 90.00°
Sites, in units of the cell vectors:
1 Ga 0.127 0.373 0.000
2 Ga 0.373 0.873 0.000
3 Ga 0.627 0.127 0.000
4 Ga 0.873 0.627 0.000
5 Sn 0.000 0.000 0.000
6 Sn 0.500 0.500 0.000
7 Pd 0.167 0.667 0.500
8 Pd 0.333 0.167 0.500
9 Pd 0.667 0.833 0.500
10 Pd 0.833 0.333 0.500

Computed properties:
For the density of states at the Fermi level, the calculation gives 0.460 states/eV/atom. Its space group is P4/mbm (127). As for the formation energy: -0.3540 eV per atom. As for the volume: 17.6 Å³/atom.